Tl2SnIO6 | Alexandria via LeMat-Bulk | PBE | optimized geometry; formation energy from raw total energies = -0.67 eV per atom; DOS(E_F) = 4.92 states/eV/f.u.; density = 7.40 g/cm³
1.0
-2.8096 2.8096 5.3293
2.8096 -2.8096 5.3293
2.8096 2.8096 -5.3293
Tl Sn I O
2 1 1 6
Direct
0.0000 0.5000 0.5000 Tl
0.5000 0.0000 0.5000 Tl
0.2439 0.2439 0.0000 Sn
0.7830 0.7830 0.0000 I
0.0580 0.0580 0.0000 O
0.0628 0.0628 0.5064 O
0.0628 0.5564 0.0000 O
0.5564 0.0628 0.0000 O
0.5564 0.5564 0.4936 O
0.6118 0.6118 0.0000 O